[1]
Below is crystalline NdEr2ScSe6 at its relaxed geometry, with properties calculated at the GGA-PBE level.

For the density of states at the Fermi level, the calculation gives 0.00 states/eV/atom. The value obtained for the density is 5840 kg/m3. The value obtained for the uncorrected formation energy is -1783 meV per atom.

The space group is R3 (No. 146, hexagonal axes) and the conventional cell measures 7.1417, 7.1417 and 19.2633 Å, with angles of 90.00, 90.00 and 120.00 degrees. The inequivalent atoms are Nd at (0.0000, 0.0000, 0.0000), Er at (0.0000, 0.0000, 0.2972), Er at (0.0000, 0.0000, 0.8031), Sc at (0.0000, 0.0000, 0.4918), Se at (0.0166, 0.7141, 0.3989) and Se at (0.0235, 0.3439, 0.5624).

[2]
Below is crystalline NdEr2ScSe4 at its relaxed geometry, with properties calculated at the GGA-PBE level.

For the density of states at the Fermi level, the calculation gives 0.59 states/eV/atom. The value obtained for the density is 7385 kg/m3. The value obtained for the uncorrected formation energy is -1681 meV per atom.

The space group is P2/m (No. 10) and the conventional cell measures 6.9972, 4.0030 and 7.1195 Å, with angles of 90.00, 108.80 and 90.00 degrees. The inequivalent atoms are Nd at (0.0000, 0.0000, 0.0000), Er at (0.5000, 0.0000, 0.5000), Er at (0.5000, 0.5000, 0.0000), Sc at (0.0000, 0.5000, 0.5000), Se at (0.2483, 0.0000, 0.7372) and Se at (0.2577, 0.5000, 0.2650).

[3]
Below is crystalline Nd3ErSc3Se8 at its relaxed geometry, with properties calculated at the GGA-PBE level.

For the density of states at the Fermi level, the calculation gives 0.48 states/eV/atom. The value obtained for the density is 6085 kg/m3. The value obtained for the uncorrected formation energy is -1771 meV per atom.

The space group is R-3m (No. 166, hexagonal axes) and the conventional cell measures 8.0040, 8.0040 and 20.1632 Å, with angles of 90.00, 90.00 and 120.00 degrees. The inequivalent atoms are Nd at (0.0000, 0.5000, 0.0000), Er at (0.0000, 0.0000, 0.5000), Sc at (0.0000, 0.5000, 0.5000), Se at (0.0000, 0.0000, 0.2407) and Se at (0.0146, 0.5073, 0.7557).

[4]
Below is crystalline Nd3Er2ScSe6 at its relaxed geometry, with properties calculated at the GGA-PBE level.

For the density of states at the Fermi level, the calculation gives 0.42 states/eV/atom. The value obtained for the density is 7250 kg/m3. The value obtained for the uncorrected formation energy is -1749 meV per atom.

The space group is C2/m (No. 12) and the conventional cell measures 18.0599, 4.0538 and 8.3471 Å, with angles of 90.00, 105.43 and 90.00 degrees. The inequivalent atoms are Nd at (0.0000, 0.0000, 0.0000), Nd at (0.1683, 0.5000, 0.3354), Er at (0.1654, 0.5000, 0.8312), Sc at (0.0000, 0.0000, 0.5000), Se at (0.0025, 0.5000, 0.7315), Se at (0.1588, 0.0000, 0.5913) and Se at (0.1710, 0.0000, 0.0730).

[5]
Below is crystalline Nd2ErScSe5 at its relaxed geometry, with properties calculated at the GGA-PBE level.

For the density of states at the Fermi level, the calculation gives 0.72 states/eV/atom. The value obtained for the density is 5496 kg/m3. The value obtained for the uncorrected formation energy is -1241 meV per atom.

The space group is P4/mmm (No. 123) and the conventional cell measures 5.1064, 5.1064 and 10.3753 Å, with angles of 90.00, 90.00 and 90.00 degrees. The inequivalent atoms are Nd at (0.0000, 0.0000, 0.2086), Er at (0.5000, 0.5000, 0.0000), Sc at (0.5000, 0.5000, 0.5000), Se at (0.0000, 0.0000, 0.5000), Se at (0.0000, 0.5000, 0.0000) and Se at (0.5000, 0.5000, 0.2618).

[6]
Below is crystalline Nd4Er3ScSe8 at its relaxed geometry, with properties calculated at the GGA-PBE level.

For the density of states at the Fermi level, the calculation gives 0.56 states/eV/atom. The value obtained for the density is 7377 kg/m3. The value obtained for the uncorrected formation energy is -1753 meV per atom.

The space group is R-3m (No. 166, hexagonal axes) and the conventional cell measures 8.1148, 8.1148 and 20.7866 Å, with angles of 90.00, 90.00 and 120.00 degrees. The inequivalent atoms are Nd at (0.0000, 0.0000, 0.0000), Nd at (0.0000, 0.5000, 0.0000), Er at (0.0000, 0.5000, 0.5000), Sc at (0.0000, 0.0000, 0.5000), Se at (0.0000, 0.0000, 0.2437) and Se at (0.0055, 0.5028, 0.2424).

[7]
Below is crystalline Nd3ErSc2Se6 at its relaxed geometry, with properties calculated at the GGA-PBE level.

For the density of states at the Fermi level, the calculation gives 0.48 states/eV/atom. The value obtained for the density is 6695 kg/m3. The value obtained for the uncorrected formation energy is -1727 meV per atom.

The space group is C2/m (No. 12) and the conventional cell measures 6.9663, 12.1187 and 7.2252 Å, with angles of 90.00, 108.87 and 90.00 degrees. The inequivalent atoms are Nd at (0.0000, 0.0000, 0.0000), Nd at (0.0000, 0.3369, 0.0000), Er at (0.0000, 0.5000, 0.5000), Sc at (0.0000, 0.1666, 0.5000), Se at (0.2331, 0.0000, 0.7222) and Se at (0.2454, 0.3297, 0.7255).

[8]
Below is crystalline Nd2ErScSe4 at its relaxed geometry, with properties calculated at the GGA-PBE level.

For the density of states at the Fermi level, the calculation gives 0.50 states/eV/atom. The value obtained for the density is 6970 kg/m3. The value obtained for the uncorrected formation energy is -1736 meV per atom.

The space group is P2/m (No. 10) and the conventional cell measures 6.9990, 4.0228 and 7.2878 Å, with angles of 90.00, 108.56 and 90.00 degrees. The inequivalent atoms are Nd at (0.0000, 0.0000, 0.0000), Nd at (0.5000, 0.5000, 0.0000), Er at (0.0000, 0.5000, 0.5000), Sc at (0.5000, 0.0000, 0.5000), Se at (0.2481, 0.0000, 0.7280) and Se at (0.2644, 0.5000, 0.2759).

[9]
Below is crystalline Nd3Sm6Er2Sc at its relaxed geometry, with properties calculated at the GGA-PBE level.

For the density of states at the Fermi level, the calculation gives 1.37 states/eV/atom. The value obtained for the density is 7237 kg/m3. Its formation energy is 0.0305 eV per atom.

The space group is C2/m (No. 12) and the conventional cell measures 6.2344, 10.7986 and 11.8686 Å, with angles of 90.00, 100.08 and 90.00 degrees. The inequivalent atoms are Nd at (0.0000, 0.0000, 0.0000), Nd at (0.0000, 0.3334, 0.0000), Sm at (0.2461, 0.3347, 0.7425), Sm at (0.2503, 0.0000, 0.7427), Er at (0.0000, 0.1666, 0.5000) and Sc at (0.0000, 0.5000, 0.5000).

[10]
Below is crystalline Nd2Sm6Er3Sc at its relaxed geometry, with properties calculated at the GGA-PBE level.

For the density of states at the Fermi level, the calculation gives 1.28 states/eV/atom. The value obtained for the density is 7444 kg/m3. Its formation energy is 0.0263 eV per atom.

The space group is C2/m (No. 12) and the conventional cell measures 6.1985, 10.7359 and 11.8301 Å, with angles of 90.00, 100.06 and 90.00 degrees. The inequivalent atoms are Nd at (0.0000, 0.1666, 0.0000), Sm at (0.2466, 0.5000, 0.7480), Sm at (0.2482, 0.3352, 0.2515), Er at (0.0000, 0.0000, 0.5000), Er at (0.0000, 0.3338, 0.5000) and Sc at (0.0000, 0.5000, 0.0000).

[11]
Below is crystalline NdSm2ErSc at its relaxed geometry, with properties calculated at the GGA-PBE level.

For the density of states at the Fermi level, the calculation gives 1.49 states/eV/atom. The value obtained for the density is 6766 kg/m3. Its formation energy is 0.2272 eV per atom.

The space group is Pmma (No. 51) and the conventional cell measures 6.1706, 7.8244 and 6.6807 Å, with angles of 90.00, 90.00 and 90.00 degrees. The inequivalent atoms are Nd at (0.2500, 0.0000, 0.1901), Sm at (0.2500, 0.2105, 0.7123), Er at (0.2500, 0.5000, 0.3976) and Sc at (0.0000, 0.5000, 0.0000).

[12]
Below is crystalline NdSm3Er6Sc2 at its relaxed geometry, with properties calculated at the GGA-PBE level.

For the density of states at the Fermi level, the calculation gives 1.39 states/eV/atom. The value obtained for the density is 7642 kg/m3. Its formation energy is 0.0384 eV per atom.

The space group is C2/m (No. 12) and the conventional cell measures 6.0835, 10.5323 and 11.6313 Å, with angles of 90.00, 100.01 and 90.00 degrees. The inequivalent atoms are Nd at (0.0000, 0.0000, 0.0000), Sm at (0.0000, 0.1671, 0.5000), Sm at (0.0000, 0.5000, 0.5000), Er at (0.2456, 0.5000, 0.2445), Er at (0.2501, 0.1680, 0.2444) and Sc at (0.0000, 0.3332, 0.0000).

[13]
Below is crystalline Nd5SmEr2Sc at its relaxed geometry, with properties calculated at the GGA-PBE level.

For the density of states at the Fermi level, the calculation gives 1.50 states/eV/atom. The value obtained for the density is 6869 kg/m3. Its formation energy is 0.1283 eV per atom.

The space group is Cmc2_1 (No. 36) and the conventional cell measures 5.3729, 21.9063 and 10.2776 Å, with angles of 90.00, 90.00 and 90.00 degrees. The inequivalent atoms are Nd at (0.0000, 0.9998, 0.0000), Nd at (0.0000, 0.1261, 0.2503), Nd at (0.0000, 0.2208, 0.9387), Nd at (0.0000, 0.2215, 0.5633), Nd at (0.0000, 0.4983, 0.7501), Sm at (0.0000, 0.1009, 0.7502), Er at (0.0000, 0.3835, 0.0021), Er at (0.0000, 0.3842, 0.4981) and Sc at (0.0000, 0.2849, 0.2510).

[14]
Below is crystalline NdSm5Er2Sc at its relaxed geometry, with properties calculated at the GGA-PBE level.

For the density of states at the Fermi level, the calculation gives 1.60 states/eV/atom. The value obtained for the density is 7177 kg/m3. Its formation energy is 0.1661 eV per atom.

The space group is Cmc2_1 (No. 36) and the conventional cell measures 5.6146, 20.1177 and 10.4516 Å, with angles of 90.00, 90.00 and 90.00 degrees. The inequivalent atoms are Nd at (0.0000, 0.0901, 0.0000), Sm at (0.0000, 0.0167, 0.2852), Sm at (0.0000, 0.1241, 0.5633), Sm at (0.0000, 0.2015, 0.2506), Sm at (0.0000, 0.2236, 0.8649), Sm at (0.0000, 0.4827, 0.5600), Er at (0.0000, 0.3846, 0.2799), Er at (0.0000, 0.3873, 0.8548) and Sc at (0.0000, 0.3049, 0.5583).

[15]
Below is crystalline NdSm3ErSc at its relaxed geometry, with properties calculated at the GGA-PBE level.

For the density of states at the Fermi level, the calculation gives 1.49 states/eV/atom. The value obtained for the density is 7036 kg/m3. Its formation energy is 0.0369 eV per atom.

The space group is Cmcm (No. 63) and the conventional cell measures 4.9977, 15.0895 and 10.1088 Å, with angles of 90.00, 90.00 and 90.00 degrees. The inequivalent atoms are Nd at (0.0000, 0.0040, 0.2500), Sm at (0.0000, 0.1667, 0.0013), Sm at (0.0000, 0.3309, 0.2500), Er at (0.0000, 0.5000, 0.0000) and Sc at (0.0000, 0.3327, 0.7500).

[16]
Below is crystalline NdSm2Er5Sc at its relaxed geometry, with properties calculated at the GGA-PBE level.

For the density of states at the Fermi level, the calculation gives 1.39 states/eV/atom. The value obtained for the density is 7749 kg/m3. Its formation energy is 0.1648 eV per atom.

The space group is Cmc2_1 (No. 36) and the conventional cell measures 5.5642, 19.6471 and 10.3984 Å, with angles of 90.00, 90.00 and 90.00 degrees. The inequivalent atoms are Nd at (0.0000, 0.0864, 0.0000), Sm at (0.0000, 0.3856, 0.2773), Sm at (0.0000, 0.3882, 0.8587), Er at (0.0000, 0.0186, 0.2824), Er at (0.0000, 0.1239, 0.5630), Er at (0.0000, 0.2025, 0.2488), Er at (0.0000, 0.2230, 0.8664), Er at (0.0000, 0.4820, 0.5641) and Sc at (0.0000, 0.3028, 0.5580).

[17]
Below is crystalline NdSm2Er2Sc2 at its relaxed geometry, with properties calculated at the GGA-PBE level.

For the density of states at the Fermi level, the calculation gives 1.82 states/eV/atom. The value obtained for the density is 6811 kg/m3. Its formation energy is 0.0821 eV per atom.

The space group is C2/m (No. 12) and the conventional cell measures 23.3209, 3.4444 and 5.4251 Å, with angles of 90.00, 103.41 and 90.00 degrees. The inequivalent atoms are Nd at (0.0000, 0.0000, 0.0000), Sm at (0.0736, 0.5000, 0.5739), Er at (0.2095, 0.0000, 0.7096) and Sc at (0.1463, 0.5000, 0.1467).

[18]
Below is crystalline Nd5Sm2ErSc at its relaxed geometry, with properties calculated at the GGA-PBE level.

For the density of states at the Fermi level, the calculation gives 1.38 states/eV/atom. The value obtained for the density is 6713 kg/m3. Its formation energy is 0.1183 eV per atom.

The space group is Cmc2_1 (No. 36) and the conventional cell measures 5.4136, 22.0473 and 10.2316 Å, with angles of 90.00, 90.00 and 90.00 degrees. The inequivalent atoms are Nd at (0.0000, 0.0001, 0.0000), Nd at (0.0000, 0.1279, 0.2497), Nd at (0.0000, 0.2219, 0.5614), Nd at (0.0000, 0.2225, 0.9369), Nd at (0.0000, 0.4998, 0.2499), Sm at (0.0000, 0.3841, 0.5005), Sm at (0.0000, 0.3846, 0.9993), Er at (0.0000, 0.1024, 0.7499) and Sc at (0.0000, 0.2886, 0.2492).

[19]
Below is crystalline Nd2SmErSc at its relaxed geometry, with properties calculated at the GGA-PBE level.

For the density of states at the Fermi level, the calculation gives 1.34 states/eV/atom. The value obtained for the density is 6388 kg/m3. Its formation energy is 0.3593 eV per atom.

The space group is Cmcm (No. 63) and the conventional cell measures 8.2409, 11.4113 and 7.1992 Å, with angles of 90.00, 90.00 and 90.00 degrees. The inequivalent atoms are Nd at (0.1994, 0.0000, 0.0000), Sm at (0.0000, 0.2281, 0.2500), Er at (0.0000, 0.2412, 0.7500) and Sc at (0.0000, 0.4894, 0.2500).

[20]
Below is crystalline Nd2SmEr5Sc at its relaxed geometry, with properties calculated at the GGA-PBE level.

For the density of states at the Fermi level, the calculation gives 1.34 states/eV/atom. The value obtained for the density is 7672 kg/m3. Its formation energy is 0.1586 eV per atom.

The space group is Cmc2_1 (No. 36) and the conventional cell measures 5.5652, 19.7068 and 10.4207 Å, with angles of 90.00, 90.00 and 90.00 degrees. The inequivalent atoms are Nd at (0.0000, 0.1124, 0.0000), Nd at (0.0000, 0.1150, 0.4190), Sm at (0.0000, 0.4124, 0.1431), Er at (0.0000, 0.0172, 0.7050), Er at (0.0000, 0.2767, 0.0074), Er at (0.0000, 0.2978, 0.3890), Er at (0.0000, 0.3761, 0.7042), Er at (0.0000, 0.4820, 0.4243) and Sc at (0.0000, 0.1969, 0.6996).

Number 1: total magnetic moment 0.0 μB per cell. Number 2: total magnetic moment 0.0 μB per cell. Number 3: total magnetic moment 0.0 μB per cell. Number 4: total magnetic moment 0.0 μB per cell. Number 5: total magnetic moment 0.0 μB per cell. Number 6: total magnetic moment 0.0 μB per cell. Number 7: total magnetic moment 0.0 μB per cell. Number 8: total magnetic moment 0.0 μB per cell. Number 9: total magnetic moment 0.0 μB per cell. Number 10: total magnetic moment 0.0 μB per cell. Number 11: total magnetic moment 0.0 μB per cell. Number 12: total magnetic moment 0.0 μB per cell. Number 13: total magnetic moment 0.0 μB per cell. Number 14: total magnetic moment 0.0 μB per cell. Number 15: total magnetic moment 0.0 μB per cell. Number 16: total magnetic moment 0.0 μB per cell. Number 17: total magnetic moment 0.0 μB per cell. Number 18: total magnetic moment 0.0 μB per cell. Number 19: total magnetic moment 0.0 μB per cell. Number 20: total magnetic moment 0.0 μB per cell.